1.
Density functional theory data (SCAN) for a crystal of KZr2Ru relaxed with PBEsol.

Geometry as POSCAR:
```
KZr2Ru
1.0
3.252 0.000 0.000
0.000 4.030 0.000
0.000 0.000 8.294
K Zr Ru
1 2 1
Cartesian
0.000 0.000 0.000
0.000 0.000 3.444
1.626 2.015 5.233
1.626 2.015 2.793
```

***

2.
Density functional theory data (SCAN) for a crystal of YBeHg2Ge relaxed with PBEsol.

Geometry as POSCAR:
```
YBeHg2Ge
1.0
5.520 0.000 0.000
0.000 5.520 0.000
0.000 0.000 5.001
Y Be Hg Ge
1 1 2 1
Cartesian
0.000 0.000 0.000
0.000 0.000 2.501
0.000 2.760 0.000
2.760 0.000 0.000
2.760 2.760 2.501
```

***

3.
Density functional theory data (SCAN) for a crystal of Be2Nb2Ni relaxed with PBEsol.

Geometry as POSCAR:
```
Be2Nb2Ni
1.0
5.856 0.000 0.000
0.000 5.856 0.000
0.000 0.000 3.610
Be Nb Ni
4 4 2
Cartesian
0.760 2.167 0.000
2.167 5.095 0.000
3.688 0.760 0.000
5.095 3.688 0.000
1.014 3.941 1.805
1.914 1.014 1.805
3.941 4.842 1.805
4.842 1.914 1.805
0.000 0.000 0.000
2.928 2.928 0.000
```

***

| no. | formation enthalpy at 0 K (meV/atom) |
| --- | --- |
| 1 | 240 |
| 2 | 1165 |
| 3 | -222 |